A plane-wave DFT calculation with PBE was carried out for an optimized crystal structure of LiCrTc2.

Calculated values
Energy relative to the lowest polymorph listed for this composition: 63 meV/atom
Electronic total energy: -7.8190 eV/atom
Mass density: 8.0 Mg/m³
Formation energy from the elements: 0.248 eV/atom

a b c (Å): 2.9754 4.2006 8.4568
angles (deg): 90.00 90.00 90.00
Last column: nearest neighbours and their distance in Å.
Space group Imm2 (No. 44)
Inequivalent atoms, fractional coordinates:
Li1 0.0000 0.0000 0.0000 [2 per cell]  6 Tc 2.58-2.69, 2 Cr 2.65
Cr1 0.0000 0.5000 0.2406 [2 per cell]  6 Tc 2.42-2.58, 2 Li 2.65
Tc1 0.0000 0.0000 0.5143 [2 per cell]  2 Cr 2.42, 4 Li 2.58, 2 Tc 2.58
Tc2 0.0000 0.5000 0.7647 [2 per cell]  4 Cr 2.58, 2 Tc 2.58, 2 Li 2.69

=====

A plane-wave DFT calculation with PBE was carried out for an optimized crystal structure of BeTlH2.

Calculated values
Energy relative to the lowest polymorph listed for this composition: 717 meV/atom
Electronic total energy: -2.1597 eV/atom
Mass density: 7.7 Mg/m³

a b c (Å): 5.7161 5.7161 5.7161
angles (deg): 90.00 90.00 90.00
Last column: nearest neighbours and their distance in Å.
Space group Fm-3m (No. 225)
Inequivalent atoms, fractional coordinates:
Be1 0.0000 0.0000 0.0000 [4 per cell]  8 H 2.48
Tl1 0.0000 0.0000 0.5000 [4 per cell]  8 H 2.48
H1 0.2500 0.2500 0.2500 [8 per cell]  4 Tl 2.48, 4 Be 2.48

=====

A plane-wave DFT calculation with PBE was carried out for an optimized crystal structure of BeBP.

Calculated values
Energy relative to the lowest polymorph listed for this composition: 35 meV/atom
Electronic total energy: -5.2340 eV/atom
Mass density: 1.9 Mg/m³
Formation energy from the elements: 0.037 eV/atom

a b c (Å): 3.5178 3.8311 7.5219
angles (deg): 77.17 81.88 62.74
Last column: nearest neighbours and their distance in Å.
Space group P-1 (No. 2)
Inequivalent atoms, fractional coordinates:
Be1 0.1555 0.3132 0.2933 [2 per cell]  2 B 1.95, 3 P 2.15-2.18
B1 0.2314 0.4999 0.5000 [2 per cell]  1 B 1.63
P1 0.4736 0.6965 0.2628 [2 per cell]  2 B 2.01, 3 Be 2.15-2.18

=====

A plane-wave DFT calculation with PBE was carried out for an optimized crystal structure of MoI3Br3.

Calculated values
Electronic total energy: -3.0554 eV/atom
Mass density: 4.0 Mg/m³
E_form (uncorrected): -0.127 eV per atom

a b c (Å): 8.3770 12.0428 7.0211
angles (deg): 90.00 123.83 90.00
Last column: nearest neighbours and their distance in Å.
Space group Cm (No. 8)
Inequivalent atoms, fractional coordinates:
Mo1 0.0000 0.0000 0.0000 [2 per cell]  3 Br 2.49, 3 I 2.74-2.75
I1 0.3002 0.0000 0.4537 [2 per cell]  1 Mo 2.75
I2 0.3502 0.3500 0.1537 [4 per cell]  1 Mo 2.74
Br1 0.2821 0.0000 0.9696 [2 per cell]  1 Mo 2.49
Br2 0.3592 0.3591 0.6878 [4 per cell]  1 Mo 2.49

=====

A plane-wave DFT calculation with PBE was carried out for an optimized crystal structure of Er2ScZnC.

Calculated values
Electronic total energy: -5.5252 eV/atom
Mass density: 7.2 Mg/m³
Formation energy from the elements: -0.334 eV/atom

a b c (Å): 4.8808 4.8808 4.4185
angles (deg): 90.00 90.00 90.00
Last column: nearest neighbours and their distance in Å.
Space group P4/mmm (No. 123)
Inequivalent atoms, fractional coordinates:
Er1 0.0000 0.5000 0.0000 [2 per cell]  2 C 2.44
Sc1 0.0000 0.0000 0.5000 [1 per cell]  2 C 2.21
Zn1 0.5000 0.5000 0.5000 [1 per cell]  8 Er 3.29, 4 Sc 3.45
C1 0.0000 0.0000 0.0000 [1 per cell]  2 Sc 2.21, 4 Er 2.44

=====

A plane-wave DFT calculation with PBE was carried out for an optimized crystal structure of La2HPb2.

Calculated values
Energy relative to the lowest polymorph listed for this composition: 0 meV/atom
Electronic total energy: -4.5889 eV/atom
Mass density: 8.0 Mg/m³

a b c (Å): 5.2485 16.0371 6.8292
angles (deg): 90.00 90.00 90.00
Last column: nearest neighbours and their distance in Å.
Space group Cmc2_1 (No. 36)
Inequivalent atoms, fractional coordinates:
La1 0.0000 0.0622 0.0000 [4 per cell]  2 H 2.47-2.66
La2 0.0000 0.3274 0.9169 [4 per cell]  2 H 2.96, 1 Pb 3.24
H1 0.0000 0.0915 0.3545 [4 per cell]  2 La 2.47-2.66
Pb1 0.0000 0.3038 0.4211 [4 per cell]  1 Pb 3.17, 6 La 3.36-3.46, 1 H 3.43
Pb2 0.0000 0.4824 0.2213 [4 per cell]  3 Pb 3.17-3.46, 6 La 3.24-3.33, 2 H 3.28

=====

A plane-wave DFT calculation with PBE was carried out for an optimized crystal structure of Ta5Cu3.

Calculated values
Electronic total energy: -8.7811 eV/atom
Mass density: 14.1 Mg/m³
Formation energy from the elements: 0.163 eV/atom

a b c (Å): 7.5429 8.2114 4.1543
angles (deg): 90.00 90.00 90.00
Last column: nearest neighbours and their distance in Å.
Space group Cmmm (No. 65)
Inequivalent atoms, fractional coordinates:
Ta1 0.0000 0.0000 0.0000 [2 per cell]  8 Ta 2.79-2.97, 4 Cu 2.82
Ta2 0.0000 0.2583 0.5000 [4 per cell]  6 Cu 2.72-2.87, 6 Ta 2.81-2.97
Ta3 0.2500 0.2500 0.0000 [4 per cell]  6 Ta 2.79-2.81, 6 Cu 2.79-2.92
Cu1 0.0000 0.5000 0.0000 [2 per cell]  4 Cu 2.79, 8 Ta 2.79-2.87
Cu2 0.2462 0.5000 0.5000 [4 per cell]  10 Ta 2.72-2.92, 2 Cu 2.79

=====

A plane-wave DFT calculation with PBE was carried out for an optimized crystal structure of Ta2MoPt.

Calculated values
Electronic total energy: -10.3180 eV/atom
Mass density: 16.0 Mg/m³
Formation energy from the elements: -0.174 eV/atom

a b c (Å): 9.8241 2.7691 5.0573
angles (deg): 90.00 99.19 90.00
Last column: nearest neighbours and their distance in Å.
Space group Cm (No. 8)
Inequivalent atoms, fractional coordinates:
Ta1 0.0000 0.0000 0.0000 [2 per cell]  3 Ta 2.77-2.95, 3 Pt 2.83-2.87, 4 Mo 2.87-2.91
Ta2 0.2350 0.0000 0.7017 [2 per cell]  3 Ta 2.77-2.95, 3 Mo 2.80-2.91, 4 Pt 2.88-2.89
Mo1 0.4810 0.0000 0.4890 [2 per cell]  2 Mo 2.77, 7 Ta 2.80-2.91, 2 Pt 2.88
Pt1 0.2448 0.5000 0.2064 [2 per cell]  2 Pt 2.77, 7 Ta 2.83-2.89, 2 Mo 2.88